Entry 1:
DFT (GGA-PBEsol) results for a relaxed structure of Zn2H10Cl4O5. Values from VASP.

Quantum ESPRESSO input file:
```
&SYSTEM
  ibrav = 0, nat = 84, ntyp = 4
/
ATOMIC_SPECIES
O 16.00 O.upf
Cl 35.45 Cl.upf
H 1.01 H.upf
Zn 65.41 Zn.upf
CELL_PARAMETERS angstrom
-1.1264 -4.3366 5.7882
0.3016 -7.7158 -5.7221
14.6962 1.2986 -0.9766
ATOMIC_POSITIONS crystal
O 0.8677 0.4009 0.2510
O 0.8781 0.1093 0.2784
Cl 0.2399 0.7488 0.5602
O 0.1466 0.1211 0.5551
O 0.6944 0.0749 0.0704
H 0.7088 0.3997 0.0042
H 0.5132 0.4203 0.8008
O 0.8534 0.8789 0.4449
O 0.1323 0.5991 0.7490
H 0.1495 0.8375 0.6682
H 0.2820 0.0159 0.7388
Cl 0.4716 0.2358 0.2021
Cl 0.9716 0.2642 0.7021
H 0.2912 0.6003 0.9958
O 0.6323 0.9009 0.2490
Zn 0.2148 0.7589 0.8414
H 0.7912 0.8997 0.4958
H 0.8020 0.4749 0.4134
H 0.0004 0.5707 0.7205
H 0.2295 0.4210 0.5098
H 0.3505 0.3375 0.8318
H 0.0132 0.0797 0.3008
Zn 0.0435 0.7429 0.1470
Cl 0.2601 0.2488 0.9398
Cl 0.7078 0.5672 0.6235
O 0.6466 0.3789 0.0551
H 0.3020 0.0251 0.9134
Zn 0.7148 0.7411 0.3414
H 0.6495 0.6625 0.1682
H 0.4868 0.5797 0.1992
O 0.3056 0.9251 0.9296
O 0.3677 0.0991 0.7510
Zn 0.2852 0.2589 0.6586
H 0.0168 0.1518 0.5238
Zn 0.4565 0.2429 0.3530
O 0.9747 0.7582 0.8891
Cl 0.2029 0.5520 0.1184
H 0.6980 0.9749 0.0866
Cl 0.2078 0.9328 0.1235
H 0.7705 0.5790 0.4902
H 0.8972 0.8435 0.8843
H 0.4996 0.0707 0.7795
Cl 0.7971 0.4480 0.8816
Zn 0.9565 0.2571 0.8530
H 0.1116 0.3224 0.1204
Cl 0.7029 0.9480 0.6184
H 0.8505 0.1625 0.3318
H 0.7180 0.9841 0.2612
H 0.8884 0.6776 0.8796
H 0.9868 0.9203 0.6992
Cl 0.5284 0.7642 0.7979
O 0.3781 0.3907 0.7784
H 0.7820 0.4841 0.2388
H 0.1980 0.5251 0.5866
O 0.3534 0.6211 0.9449
H 0.2088 0.1003 0.5042
Cl 0.2971 0.0520 0.3816
H 0.2705 0.9210 0.9902
H 0.5168 0.3482 0.0238
O 0.1219 0.8907 0.7216
H 0.6116 0.1776 0.6204
Cl 0.7922 0.0672 0.8765
Zn 0.7852 0.2411 0.1586
H 0.1028 0.1565 0.1157
H 0.9832 0.8482 0.4762
Cl 0.7601 0.2512 0.4398
H 0.5004 0.9293 0.2205
H 0.3884 0.8224 0.3796
H 0.9996 0.4293 0.2795
Zn 0.5435 0.7571 0.6470
O 0.0253 0.2418 0.1109
Cl 0.2922 0.4328 0.3765
H 0.2180 0.5159 0.7612
Cl 0.7399 0.7512 0.0602
H 0.4832 0.6518 0.9762
H 0.6028 0.3435 0.6157
O 0.5253 0.2582 0.6109
O 0.1944 0.4251 0.5704
O 0.4747 0.7418 0.3891
H 0.7295 0.0790 0.0098
O 0.6219 0.6093 0.2216
O 0.8056 0.5749 0.4296
H 0.3972 0.6565 0.3843
Cl 0.0284 0.7358 0.2979
```

Output
Uncorrected energy, eV/atom: -4.4179
Crystal system: monoclinic
Magnetic moment, μB per cell: 0.00
Space group: P2_1/c

***

Entry 2:
DFT (GGA-PBEsol) results for a relaxed structure of TcPdSe2O. Values from VASP.

Quantum ESPRESSO input file:
```
&SYSTEM
  ibrav = 0, nat = 5, ntyp = 4
/
ATOMIC_SPECIES
O 16.00 O.upf
Tc 98.00 Tc.upf
Se 78.96 Se.upf
Pd 106.42 Pd.upf
CELL_PARAMETERS angstrom
3.9777 0.0000 0.0000
0.0000 4.4054 0.0000
0.0000 0.0000 4.4054
ATOMIC_POSITIONS crystal
O 0.0000 0.0000 0.0000
Tc 0.5000 0.5000 0.5000
Se 0.0000 0.5000 0.0000
Se 0.0000 0.0000 0.5000
Pd 0.5000 0.0000 0.0000
```

Output
Uncorrected energy, eV/atom: -5.3817
Crystal system: tetragonal
Formation energy from raw total energies, eV/f.u.: 3.3
Magnetic moment, μB per cell: 2.11
Space group: P4/mmm

***

Entry 3:
DFT (GGA-PBEsol) results for a relaxed structure of ScMn6Ge6. Values from VASP.

Quantum ESPRESSO input file:
```
&SYSTEM
  ibrav = 0, nat = 13, ntyp = 3
/
ATOMIC_SPECIES
Sc 44.96 Sc.upf
Ge 72.64 Ge.upf
Mn 54.94 Mn.upf
CELL_PARAMETERS angstrom
5.0409 0.0000 0.0000
-2.5205 4.3656 0.0000
0.0000 0.0000 7.9743
ATOMIC_POSITIONS crystal
Sc 0.0000 0.0000 0.5000
Ge 0.0000 0.0000 0.1609
Mn 0.5000 0.0000 0.2508
Ge 0.6667 0.3333 0.5000
Ge 0.3333 0.6667 0.5000
Mn 0.5000 0.0000 0.7492
Ge 0.3333 0.6667 0.0000
Mn 0.0000 0.5000 0.2508
Ge 0.0000 0.0000 0.8391
Mn 0.5000 0.5000 0.2508
Mn 0.5000 0.5000 0.7492
Ge 0.6667 0.3333 0.0000
Mn 0.0000 0.5000 0.7492
```

Output
Uncorrected energy, eV/atom: -7.6333
Crystal system: hexagonal
Magnetic moment, μB per cell: 11.16
ΔE_f, meV/atom: -341
Space group: P6/mmm

***

Entry 4:
DFT (GGA-PBEsol) results for a relaxed structure of Y3BiSe. Values from VASP.

Quantum ESPRESSO input file:
```
&SYSTEM
  ibrav = 0, nat = 5, ntyp = 3
/
ATOMIC_SPECIES
Y 88.91 Y.upf
Se 78.96 Se.upf
Bi 208.98 Bi.upf
CELL_PARAMETERS angstrom
5.2799 0.0000 0.0000
0.0000 5.2799 0.0000
0.0000 0.0000 5.2799
ATOMIC_POSITIONS crystal
Y 0.0000 0.5000 0.0000
Se 0.0000 0.0000 0.0000
Bi 0.5000 0.5000 0.5000
Y 0.5000 0.0000 0.0000
Y 0.0000 0.0000 0.5000
```

Output
Uncorrected energy, eV/atom: -6.4178
Distance to the lowest polymorph of the same formula, meV per atom: 0
Crystal system: cubic
Formation energy from raw total energies, eV/f.u.: -3.5
Magnetic moment, μB per cell: 0.00
Space group: Pm-3m

***

Entry 5:
DFT (GGA-PBEsol) results for a relaxed structure of NbSn2Au. Values from VASP.

Quantum ESPRESSO input file:
```
&SYSTEM
  ibrav = 0, nat = 4, ntyp = 3
/
ATOMIC_SPECIES
Au 196.97 Au.upf
Sn 118.71 Sn.upf
Nb 92.91 Nb.upf
CELL_PARAMETERS angstrom
-3.2302 3.5829 -0.0530
-4.6013 -0.8834 1.1499
-1.8145 1.6734 4.1451
ATOMIC_POSITIONS crystal
Au 0.5000 0.5000 0.5000
Sn 0.7500 0.7500 0.7500
Sn 0.2500 0.2500 0.2500
Nb 0.0000 0.0000 0.0000
```

Output
Uncorrected energy, eV/atom: -5.5886
Crystal system: cubic
Magnetic moment, μB per cell: 0.00
ΔE_f, meV/atom: 227
Space group: Fm-3m

***

Entry 6:
DFT (GGA-PBEsol) results for a relaxed structure of LiCrO2. Values from VASP.

Quantum ESPRESSO input file:
```
&SYSTEM
  ibrav = 0, nat = 8, ntyp = 3
/
ATOMIC_SPECIES
O 16.00 O.upf
Cr 52.00 Cr.upf
Li 6.94 Li.upf
CELL_PARAMETERS angstrom
-1.3541 -2.5565 0.0878
2.8402 0.1154 -0.5453
1.8481 -0.6529 9.4885
ATOMIC_POSITIONS crystal
O 0.0000 0.0000 0.1118
O 0.0000 0.0000 0.6118
Cr 0.3333 0.6667 0.4998
O 0.3333 0.6667 0.8897
Li 0.3333 0.6667 0.2390
Cr 0.6667 0.3333 0.9998
Li 0.6667 0.3333 0.7390
O 0.6667 0.3333 0.3897
```

Output
Uncorrected energy, eV/atom: -7.6829
Distance to the lowest polymorph of the same formula, meV per atom: 34
Crystal system: hexagonal
Formation energy from raw total energies, eV/f.u.: -8.0
Magnetic moment, μB per cell: 6.00
Space group: P6_3mc

***

Look up the uncorrected energy of the sixth one.
-7.6829 eV/atom

***

Which value of magnetic moment does entry 3 give?
11.16 μB per cell

***

What did the third record say?
DFT (GGA-PBEsol) results for a relaxed structure of ScMn6Ge6. Values from VASP.

Quantum ESPRESSO input file:
```
&SYSTEM
  ibrav = 0, nat = 13, ntyp = 3
/
ATOMIC_SPECIES
Sc 44.96 Sc.upf
Ge 72.64 Ge.upf
Mn 54.94 Mn.upf
CELL_PARAMETERS angstrom
5.0409 0.0000 0.0000
-2.5205 4.3656 0.0000
0.0000 0.0000 7.9743
ATOMIC_POSITIONS crystal
Sc 0.0000 0.0000 0.5000
Ge 0.0000 0.0000 0.1609
Mn 0.5000 0.0000 0.2508
Ge 0.6667 0.3333 0.5000
Ge 0.3333 0.6667 0.5000
Mn 0.5000 0.0000 0.7492
Ge 0.3333 0.6667 0.0000
Mn 0.0000 0.5000 0.2508
Ge 0.0000 0.0000 0.8391
Mn 0.5000 0.5000 0.2508
Mn 0.5000 0.5000 0.7492
Ge 0.6667 0.3333 0.0000
Mn 0.0000 0.5000 0.7492
```

Output
Uncorrected energy, eV/atom: -7.6333
Crystal system: hexagonal
Magnetic moment, μB per cell: 11.16
ΔE_f, meV/atom: -341
Space group: P6/mmm